[1]
The following is a GGA-PBE calculation of crystalline CrAsIr2 at its relaxed geometry, from Alexandria.

Calculated values
N(E_F) ... 3.59 states/eV per cell
Electronic total energy ... -31.96 eV per cell
Magnetic moment ... 1.10 μB per formula unit

Cell: 3.8769 5.4753 5.4753 Å, 29.61 90.00 90.00°
With the nearest neighbours (Å) after each atom.
Element x y z (fractional)
Cr  0.0000  0.0000  0.0000  4 As 2.64, 5 Ir 2.68-2.71, 2 Cr 2.80
As  0.5000  0.3938  0.3938  3 Ir 2.41-2.44, 4 Cr 2.64
Ir  0.0000  0.2532  0.2532  2 As 2.44, 1 Cr 2.68
Ir  0.5000  0.6213  0.6213  1 As 2.41

=====

[2]
The following is a GGA-PBE calculation of crystalline CrAsIr at its relaxed geometry, from Alexandria.

Calculated values
N(E_F) ... 1.51 states/eV per cell
Electronic total energy ... -22.94 eV per cell
Magnetic moment ... 0.00 μB per formula unit

Cell: 5.7028 5.7028 5.7028 Å, 151.23 151.23 41.14°
With the nearest neighbours (Å) after each atom.
Element x y z (fractional)
Cr  0.0000  0.0000  0.0000  4 Ir 2.54, 4 As 2.65, 4 Cr 2.83
As  0.6621  0.6621  0.0000  4 Cr 2.65, 4 As 2.83, 4 Ir 2.87
Ir  0.3545  0.3545  0.0000  4 Cr 2.54, 4 Ir 2.83

=====

[3]
The following is a GGA-PBE calculation of crystalline CrAsIr2 at its relaxed geometry, from Alexandria.

Calculated values
N(E_F) ... 4.06 states/eV per cell
Electronic total energy ... -31.63 eV per cell
Magnetic moment ... 1.26 μB per formula unit

Cell: 5.1720 5.1720 5.1720 Å, 147.58 129.34 61.44°
With the nearest neighbours (Å) after each atom.
Element x y z (fractional)
Cr  0.0000  0.0000  0.0000  2 As 2.44, 4 Ir 2.68
As  0.7785  0.2785  0.5000  2 Cr 2.44, 6 Ir 2.47-2.64
Ir  0.2713  0.7713  0.5000  4 As 2.64, 2 Cr 2.81, 6 Ir 2.89-2.94
Ir  0.5535  0.5535  0.0000  2 As 2.47, 4 Cr 2.68

=====

[4]
The following is a GGA-PBE calculation of crystalline CrAsIr2 at its relaxed geometry, from Alexandria.

Calculated values
N(E_F) ... 2.12 states/eV per cell
Electronic total energy ... -31.96 eV per cell
Magnetic moment ... 2.88 μB per formula unit

Cell: 3.9799 3.9799 3.6591 Å, 90.00 90.00 90.00°
With the nearest neighbours (Å) after each atom.
Element x y z (fractional)
Cr  0.0000  0.0000  0.0000  8 Ir 2.70, 4 As 2.81
As  0.5000  0.5000  0.0000  8 Ir 2.70, 4 Cr 2.81
Ir  0.0000  0.5000  0.5000  4 As 2.70, 4 Cr 2.70, 4 Ir 2.81
Ir  0.5000  0.0000  0.5000  4 As 2.70, 4 Cr 2.70, 4 Ir 2.81

=====

[5]
The following is a GGA-PBE calculation of crystalline CrAsIr2 at its relaxed geometry, from Alexandria.

Calculated values
N(E_F) ... 3.11 states/eV per cell
Electronic total energy ... -31.62 eV per cell
Magnetic moment ... 0.00 μB per formula unit

Cell: 8.5584 8.5584 8.5584 Å, 18.89 18.89 18.89°
With the nearest neighbours (Å) after each atom.
Element x y z (fractional)
Cr  0.0000  0.0000  0.0000  6 Ir 2.59, 6 Cr 2.81
As  0.5000  0.5000  0.5000  6 Ir 2.71, 6 As 2.81
Ir  0.2530  0.2530  0.2530  3 Cr 2.59, 3 As 2.71, 6 Ir 2.81
Ir  0.7470  0.7470  0.7470  3 Cr 2.59, 3 As 2.71, 6 Ir 2.81

=====

[6]
The following is a GGA-PBE calculation of crystalline CrAsIr4 at its relaxed geometry, from Alexandria.

Calculated values
N(E_F) ... 9.37 states/eV per cell
Electronic total energy ... -46.60 eV per cell
Magnetic moment ... 3.53 μB per formula unit

Cell: 5.2008 5.2008 5.2008 Å, 60.00 60.00 60.00°
With the nearest neighbours (Å) after each atom.
Element x y z (fractional)
Cr  0.0000  0.0000  0.0000  12 Ir 3.05, 4 As 3.18
As  0.2500  0.2500  0.2500  12 Ir 3.05, 4 Cr 3.18
Ir  0.1246  0.6251  0.6251  6 Ir 2.60
Ir  0.6251  0.1246  0.6251  6 Ir 2.60
Ir  0.6251  0.6251  0.1246  6 Ir 2.60
Ir  0.6251  0.6251  0.6251  6 Ir 2.60

=====

[7]
The following is a GGA-PBE calculation of crystalline K2CrAsIr at its relaxed geometry, from Alexandria.

Calculated values
N(E_F) ... 2.99 states/eV per cell
Electronic total energy ... -20.73 eV per cell
Magnetic moment ... 2.00 μB per formula unit

Cell: 6.1535 6.1535 4.6162 Å, 90.00 90.00 90.00°
With the nearest neighbours (Å) after each atom.
Element x y z (fractional)
K  0.0000  0.5000  0.0000  2 Ir 3.08
K  0.5000  0.0000  0.0000  2 Ir 3.08
Cr  0.0000  0.0000  0.5000  2 Ir 2.31
As  0.5000  0.5000  0.5000  8 K 3.85
Ir  0.0000  0.0000  0.0000  2 Cr 2.31

=====

[8]
The following is a GGA-PBE calculation of crystalline LaCrAs2Ir at its relaxed geometry, from Alexandria.

Calculated values
N(E_F) ... 9.12 states/eV per cell
Relative energy among the computed polymorphs ... 2127 meV/atom
Magnetic moment ... 3.06 μB per formula unit

Cell: 5.3994 5.3994 5.2390 Å, 90.00 90.00 90.00°
With the nearest neighbours (Å) after each atom.
Element x y z (fractional)
La  0.0000  0.0000  0.0000  2 Cr 2.62, 4 As 2.70
Cr  0.0000  0.0000  0.5000  2 La 2.62
As  0.0000  0.5000  0.0000  2 La 2.70
As  0.5000  0.0000  0.0000  2 La 2.70
Ir  0.5000  0.5000  0.5000  8 As 3.76, 4 Cr 3.82